one) The following is a PBE calculation of an optimized crystal structure of KInI4, from Alexandria.

Lattice parameters (Å, degrees): 11.6925 9.2031 13.8478 58.21 90.00 90.00
Closest atoms and distances in Å follow each position.
Element x y z (fractional)
I: 0.1148 0.3492 0.9728  1 In 2.77
I: 0.3852 0.3492 0.4728  1 In 2.77
I: 0.6148 0.6508 0.5272  1 In 2.77
I: 0.8719 0.8552 0.6638  1 In 2.76
I: 0.7790 0.3132 0.3827  1 In 2.77
I: 0.2790 0.6868 0.1173  1 In 2.77
I: 0.4785 0.2026 0.2084  1 In 2.76
I: 0.1281 0.1448 0.3362  1 In 2.76
I: 0.6281 0.8552 0.1638  1 In 2.76
I: 0.9785 0.7974 0.2916  1 In 2.76
I: 0.3719 0.1448 0.8362  1 In 2.76
I: 0.7210 0.3132 0.8827  1 In 2.77
I: 0.8852 0.6508 0.0272  1 In 2.77
I: 0.5215 0.7974 0.7916  1 In 2.76
I: 0.0215 0.2026 0.7084  1 In 2.76
I: 0.2210 0.6868 0.6173  1 In 2.77
K: 0.8167 0.1949 0.1687  6 I 3.65-4.00
K: 0.1833 0.8051 0.8313  6 I 3.65-4.00
K: 0.6833 0.1949 0.6687  6 I 3.65-4.00
K: 0.3167 0.8051 0.3313  6 I 3.65-4.00
In: 0.8206 0.6524 0.2189  4 I 2.76-2.77
In: 0.6794 0.6524 0.7189  4 I 2.76-2.77
In: 0.1794 0.3476 0.7811  4 I 2.76-2.77
In: 0.3206 0.3476 0.2811  4 I 2.76-2.77

V ... 52.8 Å³/atom
DOS at the Fermi energy ... 0.000 states/eV/f.u.

---

two) The following is a PBE calculation of an optimized crystal structure of KInI4, from Alexandria.

Lattice parameters (Å, degrees): 7.8241 7.8177 10.9417 110.89 110.90 90.12
Closest atoms and distances in Å follow each position.
Element x y z (fractional)
I: 0.2072 0.3628 0.4114  1 In 2.77
I: 0.0489 0.2066 0.9110  1 In 2.77
I: 0.7042 0.0486 0.4114  1 In 2.77
I: 0.3620 0.7043 0.9110  1 In 2.77
I: 0.7928 0.6372 0.5886  1 In 2.77
I: 0.9511 0.7934 0.0890  1 In 2.77
I: 0.2958 0.9514 0.5886  1 In 2.77
I: 0.6380 0.2957 0.0890  1 In 2.77
K: 0.3746 0.6246 0.2493  8 I 3.65-3.95
K: 0.6254 0.3754 0.7507  8 I 3.65-3.95
In: 0.1248 0.8748 0.7497  4 I 2.77
In: 0.8752 0.1252 0.2503  4 I 2.77

V ... 48.1 Å³/atom
DOS at the Fermi energy ... 0.000 states/eV/f.u.

---

Tell me which of them is the most stable. Sure, it is one).

---

one) The following is a PBE calculation of an optimized crystal structure of KInI2, from Alexandria.

Lattice parameters (Å, degrees): 6.0385 6.0385 6.0385 60.00 60.00 60.00
Closest atoms and distances in Å follow each position.
Element x y z (fractional)
K: 0.0000 0.0000 0.0000  8 I 3.70
I: 0.2500 0.2500 0.2500  4 In 3.70, 4 K 3.70
I: 0.7500 0.7500 0.7500  4 K 3.70, 4 In 3.70
In: 0.5000 0.5000 0.5000  8 I 3.70

V ... 38.9 Å³/atom
DOS at the Fermi energy ... 0.000 states/eV/f.u.

---

two) The following is a PBE calculation of an optimized crystal structure of KInI2, from Alexandria.

Lattice parameters (Å, degrees): 7.8067 7.8067 9.8348 66.62 66.62 90.00
Closest atoms and distances in Å follow each position.
Element x y z (fractional)
I: 0.8750 0.8819 0.7500  2 In 3.40, 2 K 3.46
I: 0.1181 0.6250 0.2500  2 In 3.40, 2 K 3.46
I: 0.3750 0.3681 0.7500  2 In 3.40, 2 K 3.46
I: 0.6319 0.1250 0.2500  2 In 3.40, 2 K 3.46
In: 0.7500 0.2500 0.5000  4 I 3.40
In: 0.0000 0.0000 0.0000  4 I 3.40
K: 0.2500 0.7500 0.5000  4 I 3.46
K: 0.5000 0.5000 0.0000  4 I 3.46

V ... 62.0 Å³/atom
DOS at the Fermi energy ... 0.000 states/eV/f.u.

---

Tell me which of them is the most stable. Sure, it is one).

---

one) The following is a PBE calculation of an optimized crystal structure of KInI2, from Alexandria.

Lattice parameters (Å, degrees): 4.2762 6.0248 6.0248 90.00 90.00 90.00
Closest atoms and distances in Å follow each position.
Element x y z (fractional)
K: 0.5000 0.0000 0.0000  8 I 3.69
I: 0.0000 0.0000 0.5000  4 In 3.69, 4 K 3.69
I: 0.0000 0.5000 0.0000  4 In 3.69, 4 K 3.69
In: 0.5000 0.5000 0.5000  8 I 3.69

V ... 38.8 Å³/atom

---

two) The following is a PBE calculation of an optimized crystal structure of KInI2, from Alexandria.

Lattice parameters (Å, degrees): 5.0078 5.0081 14.1517 90.00 90.00 90.00
Closest atoms and distances in Å follow each position.
Element x y z (fractional)
In: 0.5000 0.5021 0.6249  6 I 3.53-3.55
In: 0.5000 0.4979 0.1249  6 I 3.53-3.55
I: 0.5000 0.5024 0.3754  2 In 3.53-3.55, 4 K 3.54
I: 0.0000 0.9976 0.1248  2 K 3.54, 4 In 3.54
I: 0.5000 0.4976 0.8754  2 In 3.53-3.55, 4 K 3.54
I: 0.0000 0.0024 0.6248  2 K 3.54, 4 In 3.54
K: 0.0000 0.9973 0.8749  6 I 3.54
K: 0.0000 0.0027 0.3749  6 I 3.54

V ... 44.4 Å³/atom
DOS at the Fermi energy ... 0.000 states/eV/f.u.

---

Tell me which of them is the most stable. Sure, it is two).

---

one) The following is a PBE calculation of an optimized crystal structure of KInI2, from Alexandria.

Lattice parameters (Å, degrees): 5.0202 5.0199 8.7334 73.34 73.34 59.92
Closest atoms and distances in Å follow each position.
Element x y z (fractional)
K: 0.5000 0.5000 0.5000  6 I 3.56-3.57
I: 0.7490 0.7490 0.7519  3 In 3.54-3.55, 3 K 3.56-3.57
I: 0.2510 0.2510 0.2481  3 In 3.54-3.55, 3 K 3.56-3.57
In: 0.0000 0.0000 0.0000  6 I 3.54-3.55

V ... 44.9 Å³/atom
DOS at the Fermi energy ... 0.000 states/eV/f.u.

---

two) The following is a PBE calculation of an optimized crystal structure of KInI2, from Alexandria.

Lattice parameters (Å, degrees): 5.3038 5.3038 10.5580 75.45 75.45 60.00
Closest atoms and distances in Å follow each position.
Element x y z (fractional)
I: 0.1045 0.1045 0.6864  1 In 3.17
I: 0.8955 0.8955 0.3136  1 In 3.17
K: 0.5000 0.5000 0.5000  6 I 3.59
In: 0.0000 0.0000 0.0000  2 I 3.17

V ... 61.5 Å³/atom

---

Tell me which of them is the most stable. Sure, it is one).

---

one) The following is a PBE calculation of an optimized crystal structure of K2InI4, from Alexandria.

Lattice parameters (Å, degrees): 8.4692 8.4692 7.5744 123.99 123.99 90.00
Closest atoms and distances in Å follow each position.
Element x y z (fractional)
I: 0.7872 0.2805 0.0678  1 In 3.05
I: 0.7195 0.7195 0.9322  1 In 3.05
I: 0.2128 0.2127 0.9322  1 In 3.05
I: 0.2805 0.7873 0.0678  1 In 3.05
K: 0.7500 0.2500 0.5000  8 I 3.60-3.99
K: 0.2500 0.7500 0.5000  8 I 3.60-3.99
In: 0.5000 0.5000 0.0000  4 I 3.05

V ... 47.5 Å³/atom
DOS at the Fermi energy ... 3.215 states/eV/f.u.

---

two) The following is a PBE calculation of an optimized crystal structure of K2InI4, from Alexandria.

Lattice parameters (Å, degrees): 6.0430 6.0430 10.0568 72.52 72.52 90.00
Closest atoms and distances in Å follow each position.
Element x y z (fractional)
I: 0.0000 0.5000 0.0000  2 In 3.02
I: 0.5000 0.0000 0.0000  2 In 3.02
I: 0.1721 0.1721 0.6559  1 In 3.13, 1 K 3.46
I: 0.8279 0.8279 0.3441  1 In 3.13, 1 K 3.46
In: 0.0000 0.0000 0.0000  6 I 3.02-3.13
K: 0.3621 0.3621 0.2757  1 I 3.46
K: 0.6379 0.6379 0.7243  1 I 3.46

V ... 47.5 Å³/atom
DOS at the Fermi energy ... 2.234 states/eV/f.u.

---

Tell me which of them is the most stable. Sure, it is two).

---

one) The following is a PBE calculation of an optimized crystal structure of KInIN2, from Alexandria.

Lattice parameters (Å, degrees): 4.6740 4.6740 6.2310 90.00 90.00 90.00
Closest atoms and distances in Å follow each position.
Element x y z (fractional)
I: 0.0000 0.0000 0.5000  2 In 3.12, 4 K 3.31
N: 0.5000 0.0000 0.0000  2 In 2.34
N: 0.0000 0.5000 0.0000  2 In 2.34
In: 0.0000 0.0000 0.0000  4 N 2.34
K: 0.5000 0.5000 0.5000  4 I 3.31

V ... 27.2 Å³/atom
DOS at the Fermi energy ... 1.632 states/eV/f.u.

---

two) The following is a PBE calculation of an optimized crystal structure of KInIN2, from Alexandria.

Lattice parameters (Å, degrees): 5.2856 5.2856 7.0156 90.00 90.00 90.00
Closest atoms and distances in Å follow each position.
Element x y z (fractional)
In: 0.5000 0.5000 0.5000  4 I 3.74
K: 0.0000 0.0000 0.0000  4 N 2.64
I: 0.0000 0.0000 0.5000  2 K 3.51, 4 In 3.74
N: 0.0000 0.5000 0.0000  2 K 2.64
N: 0.5000 0.0000 0.0000  2 K 2.64

V ... 39.2 Å³/atom
DOS at the Fermi energy ... 2.279 states/eV/f.u.

---

Tell me which of them is the most stable. Sure, it is one).